Compound: Ca2IrPbC
Source: Alexandria via LeMat-Bulk
Functional: GGA-PBE
Structure: relaxed

Unit cell a=5.2277 b=5.2277 c=3.9099 alpha=90.00 beta=90.00 gamma=90.00
Positions (direct):
Ca 0.0000 0.5000 0.0000
Ca 0.5000 0.0000 0.0000
Ir 0.0000 0.0000 0.5000
Pb 0.5000 0.5000 0.5000
C 0.0000 0.0000 0.0000

---

Compound: Dy4YHo6
Source: Alexandria via LeMat-Bulk
Functional: GGA-PBE
Structure: relaxed

Unit cell a=8.4372 b=8.4372 c=8.4372 alpha=126.64 beta=126.64 gamma=78.85
Positions (direct):
Dy 0.2558 0.2558 0.6648
Dy 0.4091 0.7442 0.0000
Dy 0.5909 0.5909 0.3352
Dy 0.7442 0.4091 0.0000
Y 0.0000 0.0000 0.0000
Ho 0.0000 0.5000 0.5000
Ho 0.0570 0.5719 0.0000
Ho 0.4281 0.4281 0.4851
Ho 0.5000 0.0000 0.5000
Ho 0.5719 0.0570 0.0000
Ho 0.9430 0.9430 0.5149

Calculated values
For the relative energy among the computed polymorphs, the calculation gives 318 meV/atom.

---

For the records above, the corresponding electronic total energy values read -27.22 -47.44 eV per cell.
For the records above, the corresponding energy of formation values read -0.284 0.445 eV/atom.